DFT (PBE) results for Cd2AsCl after structural relaxation.

The space group is Pna2_1. The value obtained for the formation energy without anion corrections is -0.45 eV per atom. Its calculated total energy is -2.534 eV per atom.

The structure in extended XYZ format:
```
16
Lattice="-2.2456 5.9056 3.3633 -7.3916 -1.3266 -2.6060 -1.6573 -4.6576 7.0717" Properties=species:S:1:pos:R:3 pbc="T T T"
Cd -7.5654 -0.8460 -1.2779
Cd -4.3669 -1.5804 2.1472
Cd -5.7964 2.1269 1.5916
Cd -6.4794 0.3231 5.0105
Cd -2.4415 1.8321 4.3492
Cd -3.2810 -0.4113 8.4356
Cd -4.8413 -3.9330 5.2536
Cd -8.1963 -3.6382 2.4960
As -7.8672 2.1639 6.1629
As -7.8272 1.1969 0.2715
As -4.5852 1.6642 9.2317
As -4.5452 0.6972 3.3403
Cl -6.7878 4.5238 2.7104
Cl -8.8992 -1.1895 3.7165
Cl -5.6159 -1.6856 6.7798
Cl -3.5046 4.0277 5.7736
```